Record 1
# PmPr2PuS4 | Alexandria | PBE | relaxed
# E_form (uncorrected) ... -15.79 eV per formula unit
data_PmPr2PuS4
_chemical_formula_sum 'Pm1 Pr2 Pu1 S4'
_symmetry_space_group_name_H-M 'P 1'
_symmetry_Int_Tables_number 1
_symmetry_space_group_name_Hall 'P 1'
_cell_length_a 7.017
_cell_length_b 4.035
_cell_length_c 7.037
_cell_angle_alpha 90.00
_cell_angle_beta 109.23
_cell_angle_gamma 90.00
loop_
_atom_site_label
_atom_site_type_symbol
_atom_site_fract_x
_atom_site_fract_y
_atom_site_fract_z
_atom_site_occupancy
Pm1 Pm 0.000 0.000 0.000 1
Pr1 Pr 0.000 0.500 0.500 1
Pr2 Pr 0.500 0.000 0.500 1
Pu1 Pu 0.500 0.500 0.000 1
S1 S 0.250 0.500 0.242 1
S2 S 0.257 0.000 0.761 1
S3 S 0.743 0.000 0.239 1
S4 S 0.750 0.500 0.758 1

Record 2
# Pm3Pr4PuS8 | Alexandria | PBE | relaxed
# E_form (uncorrected) ... -32.02 eV per formula unit
data_Pm3Pr4PuS8
_chemical_formula_sum 'Pm3 Pr4 Pu1 S8'
_symmetry_space_group_name_H-M 'P 1'
_symmetry_Int_Tables_number 1
_symmetry_space_group_name_Hall 'P 1'
_cell_length_a 8.130
_cell_length_b 8.130
_cell_length_c 8.130
_cell_angle_alpha 59.87
_cell_angle_beta 59.87
_cell_angle_gamma 59.87
loop_
_atom_site_label
_atom_site_type_symbol
_atom_site_fract_x
_atom_site_fract_y
_atom_site_fract_z
_atom_site_occupancy
Pm1 Pm 0.000 0.500 0.500 1
Pm2 Pm 0.500 0.000 0.500 1
Pm3 Pm 0.500 0.500 0.000 1
Pr1 Pr 0.000 0.000 0.500 1
Pr2 Pr 0.000 0.500 0.000 1
Pr3 Pr 0.500 0.000 0.000 1
Pr4 Pr 0.500 0.500 0.500 1
Pu1 Pu 0.000 0.000 0.000 1
S1 S 0.245 0.245 0.751 1
S2 S 0.245 0.751 0.245 1
S3 S 0.249 0.755 0.755 1
S4 S 0.252 0.252 0.252 1
S5 S 0.748 0.748 0.748 1
S6 S 0.751 0.245 0.245 1
S7 S 0.755 0.249 0.755 1
S8 S 0.755 0.755 0.249 1